VASP calculation (GGA-PBE) on crystalline TbMg3Pb6 at its relaxed geometry.

Results
The space-group type is P2_1/c, No. 14. The uncorrected energy comes out at -3.233 eV per atom. The density of states at the Fermi level comes out at 0.373 states/eV per atom. The energy above the most stable polymorph in this dataset is 42.9 meV per atom.

abc: 4.857 9.634 12.872
angles: 90.00 105.22 90.00
Sites, in units of the cell vectors:
Tb 0.000 0.000 0.000
Tb 0.000 0.500 0.500
Mg 0.381 0.173 0.838
Mg 0.381 0.327 0.338
Mg 0.500 0.000 0.500
Mg 0.500 0.500 0.000
Mg 0.619 0.673 0.662
Mg 0.619 0.827 0.162
Pb 0.051 0.672 0.061
Pb 0.051 0.828 0.561
Pb 0.184 0.507 0.758
Pb 0.184 0.993 0.258
Pb 0.430 0.688 0.379
Pb 0.430 0.812 0.879
Pb 0.570 0.188 0.121
Pb 0.570 0.312 0.621
Pb 0.816 0.007 0.742
Pb 0.816 0.493 0.242
Pb 0.949 0.172 0.439
Pb 0.949 0.328 0.939